DFT (PBE-GGA) results for a relaxed structure of AcSmBiSb.

Computed properties:
The theoretical density comes out at 6.99 g/cm3. The distance to the lowest polymorph of the same formula comes out at 0.1273 eV per atom. Its energy relative to the elements, uncorrected is -664 meV/atom.

Cell lengths 13.0057, 13.0057, 13.0057 Å; angles 24.65, 24.65, 24.65 degrees
Closest atoms and distances in Å follow each position.
Element x y z (fractional)
1 Ac 0.2074 0.2074 0.2074  4 Sb 3.24-3.53, 1 Bi 3.36
2 Ac 0.7926 0.7926 0.7926  4 Sb 3.24-3.53, 1 Bi 3.36
3 Sm 0.3785 0.3785 0.3785  4 Bi 3.11-3.22
4 Sm 0.6215 0.6215 0.6215  4 Bi 3.11-3.22
5 Bi 0.2962 0.2962 0.2962  4 Sm 3.11-3.22, 1 Ac 3.36
6 Bi 0.7038 0.7038 0.7038  4 Sm 3.11-3.22, 1 Ac 3.36
7 Sb 0.1141 0.1141 0.1141  4 Ac 3.24-3.53
8 Sb 0.8859 0.8859 0.8859  4 Ac 3.24-3.53